DFT (GGA-PBE) results for an optimized crystal structure of Na2MgP3Pt4.

Values from the calculation:
DFT formation energy ... -51.4 kJ per mole of atoms
Final energy ... -5.00 eV per atom
Symmetry ... P-4m2 (115)

Cell lengths 4.1764, 4.1764, 10.0682 Å; angles 90.00, 90.00, 90.00 degrees
Last column: nearest neighbours and their distance in Å.
Atoms (fractional coordinates):
Na 0.5000 0.0000 0.2448  8 Pt 3.15-3.23, 6 P 3.18-3.31, 2 Mg 3.31
Na 0.0000 0.5000 0.7552  8 Pt 3.15-3.23, 6 P 3.18-3.31, 2 Mg 3.31
Mg 0.5000 0.5000 0.5000  4 Pt 2.55
P 0.0000 0.0000 0.5000  4 Pt 2.55
P 0.5000 0.0000 0.8720  5 Pt 2.28-2.45
P 0.0000 0.5000 0.1280  5 Pt 2.28-2.45
Pt 0.5000 0.5000 0.0000  4 P 2.45
Pt 0.0000 0.0000 0.0000  4 P 2.45
Pt 0.5000 0.0000 0.6455  3 P 2.28-2.55, 2 Mg 2.55
Pt 0.0000 0.5000 0.3545  3 P 2.28-2.55, 2 Mg 2.55

DFT (GGA-PBE) results for an optimized crystal structure of Na2MgP3Pt12.

Values from the calculation:
DFT formation energy ... -25.7 kJ per mole of atoms
Final energy ... -5.43 eV per atom
Symmetry ... R-3m (166)

Cell lengths 6.7495, 6.7495, 6.7495 Å; angles 81.02, 81.02, 81.02 degrees
Last column: nearest neighbours and their distance in Å.
Atoms (fractional coordinates):
Na 0.5897 0.5897 0.5897  1 Na 2.40, 3 Pt 2.59
Na 0.4103 0.4103 0.4103  1 Na 2.40, 3 Pt 2.59
Mg 0.0000 0.0000 0.0000  6 Pt 2.67
P 0.5000 0.0000 0.0000  6 Pt 2.28-2.45
P 0.0000 0.5000 0.0000  6 Pt 2.28-2.45
P 0.0000 0.0000 0.5000  6 Pt 2.28-2.45
Pt 0.3525 0.3525 0.9113  2 P 2.45
Pt 0.8211 0.8211 0.3489  1 P 2.28
Pt 0.3489 0.8211 0.8211  1 P 2.28
Pt 0.9113 0.3525 0.3525  2 P 2.45
Pt 0.8211 0.3489 0.8211  1 P 2.28
Pt 0.3525 0.9113 0.3525  2 P 2.45
Pt 0.6475 0.6475 0.0887  2 P 2.45
Pt 0.1789 0.1789 0.6511  1 P 2.28
Pt 0.6511 0.1789 0.1789  1 P 2.28
Pt 0.0887 0.6475 0.6475  2 P 2.45
Pt 0.1789 0.6511 0.1789  1 P 2.28
Pt 0.6475 0.0887 0.6475  2 P 2.45